Entry 1:
A plane-wave DFT calculation with GGA-PBE was carried out for a geometry-optimized WI3Cl structure.

Values from the calculation:
Raw formation energy, eV/atom: 0.418
Space group: Pm-3m (221)
Energy relative to the lowest polymorph listed for this composition, meV/atom: 0

Lattice parameters (Å, degrees): 5.4203 5.4203 5.4203 90.00 90.00 90.00
Element x y z (fractional)
I 0.0000 0.5000 0.0000
I 0.0000 0.0000 0.5000
I 0.5000 0.0000 0.0000
W 0.0000 0.0000 0.0000
Cl 0.5000 0.5000 0.5000

***

Entry 2:
A plane-wave DFT calculation with GGA-PBE was carried out for a geometry-optimized WICl3 structure.

Values from the calculation:
Raw formation energy, eV/atom: -0.648
Space group: Immm (71)
Energy relative to the lowest polymorph listed for this composition, meV/atom: 0

Lattice parameters (Å, degrees): 6.9617 7.7014 7.7014 69.10 63.13 63.13
Element x y z (fractional)
W 0.3094 0.0000 0.0000
W 0.6906 0.0000 0.0000
I 0.1803 0.8197 0.8197
I 0.8197 0.1803 0.1803
Cl 0.6873 0.8127 0.8127
Cl 0.3127 0.1873 0.1873
Cl 0.2746 0.7370 0.2630
Cl 0.7254 0.7370 0.2630
Cl 0.7254 0.2630 0.7370
Cl 0.2746 0.2630 0.7370

***

Entry 3:
A plane-wave DFT calculation with GGA-PBE was carried out for a geometry-optimized WI2Cl structure.

Values from the calculation:
Raw formation energy, eV/atom: 0.609
Space group: I-42d (122)
Energy relative to the lowest polymorph listed for this composition, meV/atom: 0

Lattice parameters (Å, degrees): 7.4400 7.4400 7.3413 59.55 59.55 90.00
Element x y z (fractional)
I 0.6995 0.1250 0.2500
I 0.0505 0.6250 0.2500
I 0.3750 0.3005 0.7500
I 0.8750 0.9495 0.7500
W 0.0000 0.0000 0.0000
W 0.7500 0.2500 0.5000
Cl 0.5000 0.5000 0.0000
Cl 0.2500 0.7500 0.5000

***

| no. | size of the total moment (Bohr magnetons per cell) |
| --- | --- |
| 1 | 0.010 |
| 2 | 0.000 |
| 3 | 0.000 |